Record 1
KCaTl3 (PBE, relaxed); total DFT energy (no corrections) = -7.899 eV for the cell shown; energy relative to the lowest polymorph listed for this composition = 307 meV/atom; spin magnetization = 0.000 μB/atom
1.0
-4.235 4.207 0.391
-2.711 -2.282 -4.820
-3.240 -3.589 3.523
Tl Ca K
3 1 1
direct
0.000 0.000 0.500
0.000 0.500 0.000
0.500 0.000 0.000
0.500 0.500 0.500
0.000 0.000 0.000

=====

Record 2
TlIrAu3 (PBE, relaxed); total DFT energy (no corrections) = -17.665 eV for the cell shown; energy relative to the lowest polymorph listed for this composition = 0 meV/atom; spin magnetization = 0.000 μB/atom
1.0
5.110 0.000 0.000
0.000 5.110 0.000
0.000 0.000 5.110
Tl Au Ir
1 3 1
direct
0.500 0.500 0.500
0.000 0.500 0.000
0.000 0.000 0.500
0.500 0.000 0.000
0.000 0.000 0.000

=====

Record 3
Rb2NpGeS4 (PBE, relaxed); total DFT energy (no corrections) = -44.247 eV for the cell shown; uncorrected formation energy = -8.2 eV per formula unit; spin magnetization = 0.375 μB/atom
1.0
-2.399 2.594 -2.083
4.081 -1.513 -6.584
-3.167 -5.485 -3.183
S Rb Np Ge
4 2 1 1
direct
0.000 0.315 0.239
0.000 0.685 0.761
0.500 0.313 0.724
0.500 0.687 0.276
0.000 0.000 0.000
0.500 0.000 0.500
0.000 0.500 0.500
0.500 0.500 0.000

=====

Number 3 is which compound?
Rb2NpGeS4

=====

The highest spin magnetization belongs to which entry?
Rb2NpGeS4